# 1
# ZrCI3

A relaxed ZrCI3 crystal (PBE, Alexandria via LeMat-Bulk).

Computed properties:
**Energy above the most stable polymorph in this dataset**: 0.000 kcal/mol of atoms
**Space group**: Pm-3m (221)
**DOS at the Fermi energy**: 11.410 states/eV per cell

a = 5.7241 Å, b = 5.7241 Å, c = 5.7241 Å
α = 90.00°, β = 90.00°, γ = 90.00°
Fractional positions:
I1 0.0000 0.0000 0.5000
I2 0.0000 0.5000 0.0000
I3 0.5000 0.0000 0.0000
C1 0.5000 0.5000 0.5000
Zr1 0.0000 0.0000 0.0000

=====

# 2
# Zr6CI14

A relaxed Zr6CI14 crystal (PBE, Alexandria via LeMat-Bulk).

Computed properties:
**Space group**: Cmce (64)

a = 11.1950 Å, b = 11.1950 Å, c = 13.1983 Å
α = 90.00°, β = 90.00°, γ = 90.48°
Fractional positions:
I1 0.0319 0.7843 0.7416
I2 0.2157 0.9681 0.2584
I3 0.4025 0.1536 0.0170
I4 0.9681 0.2157 0.2584
I5 0.7468 0.2532 0.5000
I6 0.8840 0.3840 0.7500
I7 0.7157 0.4681 0.2416
I8 0.4681 0.7157 0.2416
I9 0.2532 0.7468 0.5000
I10 0.7532 0.2468 0.0000
I11 0.1536 0.4025 0.0170
I12 0.3681 0.3681 0.2638
I13 0.1319 0.1319 0.7638
I14 0.9025 0.6536 0.4830
I15 0.8681 0.8681 0.2362
I16 0.6536 0.9025 0.4830
I17 0.3840 0.8840 0.7500
I18 0.0975 0.3464 0.5170
I19 0.8464 0.5975 0.9830
I20 0.1160 0.6160 0.2500
I21 0.2468 0.7532 0.0000
I22 0.5975 0.8464 0.9830
I23 0.6160 0.1160 0.2500
I24 0.5319 0.2843 0.7584
I25 0.7843 0.0319 0.7416
I26 0.2843 0.5319 0.7584
I27 0.3464 0.0975 0.5170
I28 0.6319 0.6319 0.7362
Zr1 0.3765 0.3765 0.9121
Zr2 0.0515 0.8388 0.3903
Zr3 0.1235 0.1235 0.4121
Zr4 0.6612 0.4485 0.8903
Zr5 0.3388 0.5515 0.1097
Zr6 0.8765 0.8765 0.5879
Zr7 0.6235 0.6235 0.0879
Zr8 0.8388 0.0515 0.3903
Zr9 0.1612 0.9485 0.6097
Zr10 0.4485 0.6612 0.8903
Zr11 0.5515 0.3388 0.1097
Zr12 0.9485 0.1612 0.6097
C1 0.0000 0.0000 0.5000
C2 0.5000 0.5000 0.0000

=====

Ordered energy relative to the elements, uncorrected results: 0.963, -0.978; unit eV per atom.